No. 1
Sm3Si5Se12: relaxed, PBE.

a b c (Å): 13.7620 13.7620 13.7620
angles (deg): 109.47 109.47 109.47
Fractional positions:
1 Sm 0.7500 0.3750 0.1250
2 Sm 0.8750 0.7500 0.1250
3 Sm 0.3750 0.7500 0.6250
4 Sm 0.2500 0.1250 0.3750
5 Sm 0.8750 0.1250 0.2500
6 Sm 0.3750 0.6250 0.2500
7 Sm 0.6250 0.3750 0.7500
8 Sm 0.1250 0.8750 0.7500
9 Sm 0.7500 0.8750 0.6250
10 Sm 0.6250 0.2500 0.3750
11 Sm 0.1250 0.2500 0.8750
12 Sm 0.2500 0.6250 0.8750
13 Si 0.1250 0.3750 0.2500
14 Si 0.0000 0.5000 0.0000
15 Si 0.0000 0.0000 0.0000
16 Si 0.3750 0.2500 0.1250
17 Si 0.5000 0.0000 0.5000
18 Si 0.5000 0.5000 0.0000
19 Si 0.1250 0.7500 0.3750
20 Si 0.7500 0.1250 0.8750
21 Si 0.7500 0.6250 0.3750
22 Si 0.3750 0.1250 0.7500
23 Si 0.6250 0.8750 0.2500
24 Si 0.5000 0.5000 0.5000
25 Si 0.5000 0.0000 0.0000
26 Si 0.0000 0.0000 0.5000
27 Si 0.2500 0.3750 0.6250
28 Si 0.2500 0.8750 0.1250
29 Si 0.0000 0.5000 0.5000
30 Si 0.8750 0.2500 0.6250
31 Si 0.6250 0.7500 0.8750
32 Si 0.8750 0.6250 0.7500
33 Se 0.7120 0.1237 0.0287
34 Se 0.3167 0.5287 0.4050
35 Se 0.9713 0.3763 0.2880
36 Se 0.5287 0.2120 0.1237
37 Se 0.5883 0.7120 0.6833
38 Se 0.9713 0.5950 0.1833
39 Se 0.3167 0.7880 0.4117
40 Se 0.0950 0.9117 0.1237
41 Se 0.5950 0.9713 0.6833
42 Se 0.7120 0.5883 0.1833
43 Se 0.7880 0.4713 0.3763
44 Se 0.8167 0.9050 0.0287
45 Se 0.1237 0.7120 0.5287
46 Se 0.3763 0.4050 0.0883
47 Se 0.0883 0.9050 0.3763
48 Se 0.4117 0.1237 0.5950
49 Se 0.0883 0.1833 0.2120
50 Se 0.4713 0.6833 0.0950
51 Se 0.8167 0.9117 0.2880
52 Se 0.1237 0.4117 0.0950
53 Se 0.3763 0.9713 0.7880
54 Se 0.5950 0.6237 0.4117
55 Se 0.9050 0.8167 0.5287
56 Se 0.7880 0.3167 0.9117
57 Se 0.4050 0.3763 0.5883
58 Se 0.0950 0.1833 0.4713
59 Se 0.2120 0.6833 0.0883
60 Se 0.1833 0.0883 0.7120
61 Se 0.6237 0.0287 0.2120
62 Se 0.8763 0.5883 0.9050
63 Se 0.5287 0.3167 0.9050
64 Se 0.5883 0.8763 0.4050
65 Se 0.9117 0.8167 0.7880
66 Se 0.9117 0.0950 0.6237
67 Se 0.8763 0.2880 0.4713
68 Se 0.1833 0.0950 0.9713
69 Se 0.6237 0.5950 0.9117
70 Se 0.4050 0.0287 0.3167
71 Se 0.2880 0.4117 0.8167
72 Se 0.2120 0.5287 0.6237
73 Se 0.9050 0.0883 0.8763
74 Se 0.6833 0.2120 0.5883
75 Se 0.4713 0.7880 0.8763
76 Se 0.0287 0.4050 0.8167
77 Se 0.4117 0.2880 0.3167
78 Se 0.0287 0.6237 0.7120
79 Se 0.6833 0.4713 0.5950
80 Se 0.2880 0.8763 0.9713

Calculated values
D(E_F) = 11.7 states/eV/cell
E = -396.2 eV/cell
total magnetic moment = 0.000 μB per atom
E_form (uncorrected) = -0.798 eV/atom
V = 25.080 Å³ per atom

=====

No. 2
Sm6Si2SnSe3: relaxed, PBE.

a b c (Å): 4.2261 8.5824 9.5360
angles (deg): 103.46 102.80 90.00
Fractional positions:
1 Sm 0.3295 0.9041 0.6591
2 Sm 0.6705 0.5760 0.3410
3 Sm 0.6705 0.0959 0.3409
4 Sm 0.0036 0.2607 0.0073
5 Sm 0.9964 0.7393 0.9927
6 Sm 0.3295 0.4240 0.6590
7 Si 0.8330 0.6659 0.6661
8 Si 0.1670 0.3341 0.3339
9 Sn 0.5000 0.0000 0.0000
10 Se 0.5000 0.5000 0.0000
11 Se 0.8344 0.1681 0.6687
12 Se 0.1656 0.8319 0.3313

Calculated values
D(E_F) = 3.4 states/eV/cell
E = -69.1 eV/cell
total magnetic moment = 0.000 μB per atom
E_form (uncorrected) = -1.286 eV/atom
V = 27.294 Å³ per atom

=====

No. 3
TbSmSiSe: relaxed, PBE.

a b c (Å): 4.1555 4.1555 7.2952
angles (deg): 73.45 73.45 60.00
Fractional positions:
1 Tb 0.9402 0.9402 0.1793
2 Sm 0.4483 0.4483 0.6551
3 Si 0.1955 0.1955 0.4134
4 Se 0.6924 0.6924 0.9229

Calculated values
D(E_F) = 1.4 states/eV/cell
E = -23.5 eV/cell
total magnetic moment = 0.000 μB per atom
E_form (uncorrected) = -1.305 eV/atom
V = 25.758 Å³ per atom

=====

No. 4
Sm4SiTe2Se: relaxed, PBE.

a b c (Å): 4.2874 7.4187 7.6451
angles (deg): 108.96 90.00 90.00
Fractional positions:
1 Sm 0.5000 0.2500 0.2207
2 Sm 0.5000 0.7500 0.7793
3 Sm 0.0000 0.2674 0.7798
4 Sm 0.0000 0.7326 0.2202
5 Si 0.5000 0.5000 0.0000
6 Te 0.5000 0.0000 0.5000
7 Te 0.0000 0.5000 0.5000
8 Se 0.0000 0.0000 0.0000

Calculated values
D(E_F) = 3.3 states/eV/cell
E = -45.4 eV/cell
total magnetic moment = 0.000 μB per atom
E_form (uncorrected) = -1.417 eV/atom
V = 28.746 Å³ per atom

=====

No. 5
Sm6Si2Te3Se: relaxed, PBE.

a b c (Å): 4.2910 8.7743 9.7628
angles (deg): 104.48 102.70 90.00
Fractional positions:
1 Sm 0.3352 0.8932 0.6704
2 Sm 0.6732 0.5670 0.3465
3 Sm 0.6648 0.1068 0.3296
4 Sm 0.0109 0.2431 0.0219
5 Sm 0.9891 0.7569 0.9781
6 Sm 0.3268 0.4330 0.6535
7 Si 0.8333 0.6675 0.6666
8 Si 0.1667 0.3325 0.3334
9 Te 0.5000 0.5000 0.0000
10 Te 0.8363 0.1657 0.6726
11 Te 0.1637 0.8343 0.3274
12 Se 0.5000 0.0000 0.0000

Calculated values
D(E_F) = 4.6 states/eV/cell
E = -68.0 eV/cell
total magnetic moment = 0.000 μB per atom
E_form (uncorrected) = -1.324 eV/atom
V = 28.884 Å³ per atom

=====

No. 6
Sm4SiTeSe2: relaxed, PBE.

a b c (Å): 4.2447 7.3192 7.5045
angles (deg): 70.71 90.00 90.00
Fractional positions:
1 Sm 0.0000 0.7555 0.7254
2 Sm 0.0000 0.2445 0.2746
3 Sm 0.5000 0.7435 0.2687
4 Sm 0.5000 0.2565 0.7313
5 Si 0.0000 0.5000 0.5000
6 Te 0.5000 0.5000 0.0000
7 Se 0.0000 0.0000 0.0000
8 Se 0.5000 0.0000 0.5000

Calculated values
D(E_F) = 3.0 states/eV/cell
E = -46.3 eV/cell
total magnetic moment = 0.000 μB per atom
E_form (uncorrected) = -1.490 eV/atom
V = 27.507 Å³ per atom

=====

No. 7
Sm8SiTe3Se3: relaxed, PBE.

a b c (Å): 8.4902 8.4891 8.6756
angles (deg): 119.30 90.00 120.00
Fractional positions:
1 Sm 0.2604 0.5207 0.2812
2 Sm 0.7396 0.4793 0.7188
3 Sm 0.7625 0.5250 0.2780
4 Sm 0.2375 0.4750 0.7220
5 Sm 0.7626 0.0155 0.2781
6 Sm 0.2374 0.9845 0.7219
7 Sm 0.2529 0.0155 0.2781
8 Sm 0.7471 0.9845 0.7219
9 Si 0.0000 0.0000 0.5000
10 Te 0.0000 0.0000 0.0000
11 Te 0.0000 0.5000 0.0000
12 Te 0.5000 0.5000 0.0000
13 Se 0.5000 0.0000 0.5000
14 Se 0.5000 0.5000 0.5000
15 Se 0.0000 0.5000 0.5000

Calculated values
D(E_F) = 7.1 states/eV/cell
E = -84.0 eV/cell
total magnetic moment = 0.000 μB per atom
E_form (uncorrected) = -1.399 eV/atom
V = 29.783 Å³ per atom

=====

No. 8
Sm8SiTe4Se3: relaxed, PBE.

a b c (Å): 8.5508 8.7444 8.5498
angles (deg): 119.27 120.00 90.00
Fractional positions:
1 Sm 0.2348 0.7181 0.9834
2 Sm 0.2349 0.7180 0.4698
3 Sm 0.2603 0.2808 0.5206
4 Sm 0.7486 0.7181 0.9834
5 Sm 0.2514 0.2819 0.0166
6 Sm 0.7397 0.7192 0.4794
7 Sm 0.7651 0.2820 0.5302
8 Sm 0.7652 0.2819 0.0166
9 Si 0.0000 0.5000 0.0000
10 Te 0.5000 0.0000 0.0000
11 Te 0.5000 0.0000 0.5000
12 Te 0.0000 0.0000 0.0000
13 Te 0.0000 0.0000 0.5000
14 Se 0.5000 0.5000 0.0000
15 Se 0.5000 0.5000 0.5000
16 Se 0.0000 0.5000 0.5000

Calculated values
D(E_F) = 5.9 states/eV/cell
E = -90.7 eV/cell
total magnetic moment = 0.000 μB per atom
E_form (uncorrected) = -1.529 eV/atom
V = 28.557 Å³ per atom